# 1
Below is a geometry-optimized BaPtS structure, with properties calculated at the GGA-PBE level.

a = 4.3838 Å, b = 4.7116 Å, c = 8.7655 Å
α = 89.98°, β = 89.95°, γ = 62.31°
Fractional coordinates of all 6 atoms:
1 Ba 0.0000 0.0000 0.0000
2 Ba 0.0000 0.0000 0.5000
3 Pt 0.2946 0.4120 0.2500
4 Pt 0.7054 0.5880 0.7500
5 S 0.2920 0.4145 0.7500
6 S 0.7080 0.5855 0.2500

Values from the calculation:
Its density of states at the Fermi level is 0.00 states/eV per cell. The calculation puts the total DFT energy (no corrections) at -31.3 eV/cell. For the spin magnetization, the calculation gives 0.0 μB/cell. Its raw formation energy is -114 kJ/mol of atoms. Its crystal system is triclinic. As for the symmetry: P-1, No. 2.

=====

# 2
Below is a geometry-optimized BaPtS structure, with properties calculated at the GGA-PBE level.

a = 8.9080 Å, b = 8.0990 Å, c = 4.9815 Å
α = 90.00°, β = 90.00°, γ = 90.00°
Fractional coordinates of all 12 atoms:
1 Ba 0.2505 0.2500 0.2495
2 Ba 0.2495 0.7500 0.7495
3 Ba 0.7505 0.2500 0.2505
4 Ba 0.7495 0.7500 0.7505
5 Pt 0.0005 0.2500 0.7583
6 Pt 0.4995 0.7500 0.2583
7 Pt 0.5005 0.2500 0.7417
8 Pt 0.9995 0.7500 0.2417
9 S 0.0000 0.0000 0.0000
10 S 0.0000 0.5000 0.0000
11 S 0.5000 0.0000 0.5000
12 S 0.5000 0.5000 0.5000

Values from the calculation:
Its density of states at the Fermi level is 0.31 states/eV per cell. The calculation puts the total DFT energy (no corrections) at -58.7 eV/cell. For the spin magnetization, the calculation gives 0.0 μB/cell. Its raw formation energy is -83 kJ/mol of atoms. Its crystal system is orthorhombic. As for the symmetry: Pnma, No. 62.

=====

# 3
Below is a geometry-optimized Ba12Pt3S5 structure, with properties calculated at the GGA-PBE level.

a = 16.2952 Å, b = 16.2952 Å, c = 16.2952 Å
α = 109.47°, β = 109.47°, γ = 109.47°
Fractional coordinates of all 80 atoms:
1 Ba 0.0457 0.2187 0.1324
2 Ba 0.0457 0.3269 0.9133
3 Ba 0.0863 0.7187 0.6731
4 Ba 0.0863 0.8676 0.4133
5 Ba 0.0867 0.6324 0.4137
6 Ba 0.0867 0.9544 0.6731
7 Ba 0.1324 0.0457 0.2187
8 Ba 0.1324 0.5867 0.9137
9 Ba 0.1731 0.2187 0.5863
10 Ba 0.1731 0.4544 0.5867
11 Ba 0.2187 0.1324 0.0457
12 Ba 0.2187 0.5863 0.1731
13 Ba 0.2813 0.3269 0.9137
14 Ba 0.2813 0.4544 0.3676
15 Ba 0.3269 0.9133 0.0457
16 Ba 0.3269 0.9137 0.2813
17 Ba 0.3676 0.2813 0.4544
18 Ba 0.3676 0.5863 0.9133
19 Ba 0.4133 0.0863 0.8676
20 Ba 0.4133 0.8269 0.5456
21 Ba 0.4137 0.0867 0.6324
22 Ba 0.4137 0.8269 0.7813
23 Ba 0.4544 0.3676 0.2813
24 Ba 0.4544 0.5867 0.1731
25 Ba 0.5456 0.4133 0.8269
26 Ba 0.5456 0.6324 0.7187
27 Ba 0.5863 0.1731 0.2187
28 Ba 0.5863 0.9133 0.3676
29 Ba 0.5867 0.1731 0.4544
30 Ba 0.5867 0.9137 0.1324
31 Ba 0.6324 0.4137 0.0867
32 Ba 0.6324 0.7187 0.5456
33 Ba 0.6731 0.0863 0.7187
34 Ba 0.6731 0.0867 0.9544
35 Ba 0.7187 0.5456 0.6324
36 Ba 0.7187 0.6731 0.0863
37 Ba 0.7813 0.4137 0.8269
38 Ba 0.7813 0.8676 0.9544
39 Ba 0.8269 0.5456 0.4133
40 Ba 0.8269 0.7813 0.4137
41 Ba 0.8676 0.4133 0.0863
42 Ba 0.8676 0.9544 0.7813
43 Ba 0.9133 0.0457 0.3269
44 Ba 0.9133 0.3676 0.5863
45 Ba 0.9137 0.1324 0.5867
46 Ba 0.9137 0.2813 0.3269
47 Ba 0.9544 0.6731 0.0867
48 Ba 0.9544 0.7813 0.8676
49 Pt 0.1250 0.2500 0.3750
50 Pt 0.1250 0.3750 0.7500
51 Pt 0.2500 0.3750 0.1250
52 Pt 0.2500 0.8750 0.6250
53 Pt 0.3750 0.1250 0.2500
54 Pt 0.3750 0.7500 0.1250
55 Pt 0.6250 0.2500 0.8750
56 Pt 0.6250 0.8750 0.7500
57 Pt 0.7500 0.1250 0.3750
58 Pt 0.7500 0.6250 0.8750
59 Pt 0.8750 0.6250 0.2500
60 Pt 0.8750 0.7500 0.6250
61 S 0.0000 0.0000 0.0000
62 S 0.0000 0.0000 0.5000
63 S 0.0000 0.5000 0.0000
64 S 0.0000 0.5000 0.5000
65 S 0.1250 0.7500 0.8750
66 S 0.1250 0.8750 0.2500
67 S 0.2500 0.1250 0.8750
68 S 0.2500 0.6250 0.3750
69 S 0.3750 0.2500 0.6250
70 S 0.3750 0.6250 0.7500
71 S 0.5000 0.0000 0.0000
72 S 0.5000 0.0000 0.5000
73 S 0.5000 0.5000 0.0000
74 S 0.5000 0.5000 0.5000
75 S 0.6250 0.3750 0.2500
76 S 0.6250 0.7500 0.3750
77 S 0.7500 0.3750 0.6250
78 S 0.7500 0.8750 0.1250
79 S 0.8750 0.1250 0.7500
80 S 0.8750 0.2500 0.1250

Values from the calculation:
Its density of states at the Fermi level is 56.14 states/eV per cell. The calculation puts the total DFT energy (no corrections) at -331.3 eV/cell. For the spin magnetization, the calculation gives 0.0 μB/cell. Its raw formation energy is -101 kJ/mol of atoms. Its crystal system is cubic. As for the symmetry: Ia-3d, No. 230.

=====

# 4
Below is a geometry-optimized Ba6PtS structure, with properties calculated at the GGA-PBE level.

a = 7.8961 Å, b = 7.8983 Å, c = 8.7858 Å
α = 63.35°, β = 63.32°, γ = 60.03°
Fractional coordinates of all 8 atoms:
1 Ba 0.0940 0.4027 0.2527
2 Ba 0.2490 0.9062 0.7478
3 Ba 0.4036 0.7505 0.2528
4 Ba 0.5964 0.2495 0.7472
5 Ba 0.7510 0.0938 0.2522
6 Ba 0.9060 0.5973 0.7473
7 Pt 0.0000 0.0000 0.5000
8 S 0.5000 0.5000 0.0000

Values from the calculation:
Its density of states at the Fermi level is 9.36 states/eV per cell. The calculation puts the total DFT energy (no corrections) at -27.3 eV/cell. For the spin magnetization, the calculation gives 0.0 μB/cell. Its raw formation energy is -68 kJ/mol of atoms. Its crystal system is triclinic. As for the symmetry: P-1, No. 2.

=====

# 5
Below is a geometry-optimized BaPtS structure, with properties calculated at the GGA-PBE level.

a = 4.6695 Å, b = 7.7100 Å, c = 4.6998 Å
α = 90.00°, β = 96.90°, γ = 90.00°
Fractional coordinates of all 6 atoms:
1 Ba 0.1293 0.0000 0.3578
2 Ba 0.8707 0.5000 0.6422
3 Pt 0.4729 0.2960 0.0295
4 Pt 0.5271 0.7960 0.9705
5 S 0.3268 0.5636 0.1858
6 S 0.6732 0.0636 0.8142

Values from the calculation:
Its density of states at the Fermi level is 0.00 states/eV per cell. The calculation puts the total DFT energy (no corrections) at -31.5 eV/cell. For the spin magnetization, the calculation gives 0.0 μB/cell. Its raw formation energy is -117 kJ/mol of atoms. Its crystal system is monoclinic. As for the symmetry: P2_1, No. 4.

=====

# 6
Below is a geometry-optimized BaPtS structure, with properties calculated at the GGA-PBE level.

a = 4.4014 Å, b = 4.4170 Å, c = 8.3624 Å
α = 83.73°, β = 89.94°, γ = 89.87°
Fractional coordinates of all 6 atoms:
1 Ba 0.0000 0.0000 0.0000
2 Ba 0.0000 0.5000 0.5000
3 Pt 0.5001 0.0455 0.3001
4 Pt 0.4999 0.9545 0.6999
5 S 0.4992 0.4386 0.7851
6 S 0.5008 0.5614 0.2149

Values from the calculation:
Its density of states at the Fermi level is 0.00 states/eV per cell. The calculation puts the total DFT energy (no corrections) at -31.3 eV/cell. For the spin magnetization, the calculation gives 0.0 μB/cell. Its raw formation energy is -115 kJ/mol of atoms. Its crystal system is triclinic. As for the symmetry: P-1, No. 2.

=====

# 7
Below is a geometry-optimized BaPtS structure, with properties calculated at the GGA-PBE level.

a = 4.4883 Å, b = 8.0051 Å, c = 4.8334 Å
α = 90.00°, β = 90.13°, γ = 90.00°
Fractional coordinates of all 6 atoms:
1 Ba 0.0016 0.2500 0.2745
2 Ba 0.9984 0.7500 0.7255
3 Pt 0.5000 0.0000 0.0000
4 Pt 0.5000 0.5000 0.0000
5 S 0.4977 0.7500 0.2444
6 S 0.5023 0.2500 0.7556

Values from the calculation:
Its density of states at the Fermi level is 0.00 states/eV per cell. The calculation puts the total DFT energy (no corrections) at -31.5 eV/cell. For the spin magnetization, the calculation gives 0.0 μB/cell. Its raw formation energy is -118 kJ/mol of atoms. Its crystal system is monoclinic. As for the symmetry: P2_1/m, No. 11.

=====

# 8
Below is a geometry-optimized BaPtS structure, with properties calculated at the GGA-PBE level.

a = 4.7108 Å, b = 4.7108 Å, c = 6.9375 Å
α = 90.00°, β = 90.00°, γ = 90.00°
Fractional coordinates of all 6 atoms:
1 Ba 0.2500 0.2500 0.1763
2 Ba 0.7500 0.7500 0.8237
3 Pt 0.2500 0.2500 0.6465
4 Pt 0.7500 0.7500 0.3535
5 S 0.2500 0.7500 0.5000
6 S 0.7500 0.2500 0.5000

Values from the calculation:
Its density of states at the Fermi level is 3.67 states/eV per cell. The calculation puts the total DFT energy (no corrections) at -27.9 eV/cell. For the spin magnetization, the calculation gives 0.0 μB/cell. Its raw formation energy is -60 kJ/mol of atoms. Its crystal system is tetragonal. As for the symmetry: P4/nmm, No. 129.

=====

# 9
Below is a geometry-optimized BaPtS structure, with properties calculated at the GGA-PBE level.

a = 6.3121 Å, b = 6.3121 Å, c = 4.3998 Å
α = 90.18°, β = 90.18°, γ = 89.10°
Fractional coordinates of all 6 atoms:
1 Ba 0.2431 0.7569 0.0000
2 Ba 0.7569 0.2431 0.0000
3 Pt 0.3252 0.3252 0.4980
4 Pt 0.6232 0.6232 0.5002
5 S 0.2588 0.2588 0.9974
6 S 0.8755 0.8755 0.4992

Values from the calculation:
Its density of states at the Fermi level is 1.15 states/eV per cell. The calculation puts the total DFT energy (no corrections) at -31.0 eV/cell. For the spin magnetization, the calculation gives 0.0 μB/cell. Its raw formation energy is -110 kJ/mol of atoms. Its crystal system is monoclinic. As for the symmetry: Cm, No. 8.

=====

# 10
Below is a geometry-optimized Ba6Pt2S structure, with properties calculated at the GGA-PBE level.

a = 9.0037 Å, b = 9.0037 Å, c = 9.0037 Å
α = 52.40°, β = 52.40°, γ = 52.40°
Fractional coordinates of all 9 atoms:
1 Ba 0.0991 0.7170 0.4192
2 Ba 0.2830 0.5808 0.9009
3 Ba 0.4192 0.0991 0.7170
4 Ba 0.5808 0.9009 0.2830
5 Ba 0.7170 0.4192 0.0991
6 Ba 0.9009 0.2830 0.5808
7 Pt 0.3249 0.3249 0.3249
8 Pt 0.6751 0.6751 0.6751
9 S 0.5000 0.5000 0.5000

Values from the calculation:
Its density of states at the Fermi level is 7.57 states/eV per cell. The calculation puts the total DFT energy (no corrections) at -35.0 eV/cell. For the spin magnetization, the calculation gives 0.0 μB/cell. Its raw formation energy is -78 kJ/mol of atoms. Its crystal system is trigonal. As for the symmetry: R-3, No. 148.

=====

Q: Which value of raw formation energy does entry 7 give?
A: -118 kJ/mol of atoms

=====

Q: What is the spin magnetization in the third record?
A: 0.0 μB/cell

=====

Q: raw formation energy of number 2 (BaPtS)?
A: -83 kJ/mol of atoms